Record 1
# PmNdAlSi (GGA-PBE, relaxed)
data_PmNdAlSi
_chemical_formula_sum 'Pm1 Nd1 Al1 Si1'
_space_group_name_H-M_alt 'P 1'
_space_group_IT_number 1
_cell_length_a 5.1997
_cell_length_b 5.1997
_cell_length_c 5.1997
_cell_angle_alpha 60.00
_cell_angle_beta 60.00
_cell_angle_gamma 60.00
loop_
_space_group_symop_operation_xyz
'x,y,z'
loop_
_atom_site_label
_atom_site_type_symbol
_atom_site_fract_x
_atom_site_fract_y
_atom_site_fract_z
Pm1 Pm 0.0000 0.0000 0.0000
Nd1 Nd 0.5000 0.5000 0.5000
Al1 Al 0.7500 0.7500 0.7500
Si1 Si 0.2500 0.2500 0.2500
# - ΔE to the lowest computed polymorph: 0.273 eV/atom
# - Uncorrected energy: -5.008 eV/atom
# - Symmetry: F-43m, No. 216


Record 2
# Te2Ru (GGA-PBE, relaxed)
data_Te2Ru
_chemical_formula_sum 'Te4 Ru2'
_space_group_name_H-M_alt 'P 1'
_space_group_IT_number 1
_cell_length_a 5.5723
_cell_length_b 5.5723
_cell_length_c 5.5723
_cell_angle_alpha 107.46
_cell_angle_beta 107.46
_cell_angle_gamma 113.57
loop_
_space_group_symop_operation_xyz
'x,y,z'
loop_
_atom_site_label
_atom_site_type_symbol
_atom_site_fract_x
_atom_site_fract_y
_atom_site_fract_z
Te1 Te 0.1759 0.6759 0.8518
Te2 Te 0.3241 0.1759 0.5000
Te3 Te 0.6759 0.8241 0.5000
Te4 Te 0.8241 0.3241 0.1482
Ru1 Ru 0.2500 0.2500 0.0000
Ru2 Ru 0.7500 0.7500 0.0000
# - Uncorrected energy: -4.988 eV/atom
# - Symmetry: I4/mcm, No. 140


Record 3
# Pr2TlPd5 (GGA-PBE, relaxed)
data_Pr2TlPd5
_chemical_formula_sum 'Pr2 Tl1 Pd5'
_space_group_name_H-M_alt 'P 1'
_space_group_IT_number 1
_cell_length_a 6.0622
_cell_length_b 6.0622
_cell_length_c 6.0622
_cell_angle_alpha 115.82
_cell_angle_beta 115.82
_cell_angle_gamma 97.40
loop_
_space_group_symop_operation_xyz
'x,y,z'
loop_
_atom_site_label
_atom_site_type_symbol
_atom_site_fract_x
_atom_site_fract_y
_atom_site_fract_z
Pr1 Pr 0.0000 0.5000 0.5000
Pr2 Pr 0.5000 0.0000 0.5000
Tl1 Tl 0.1223 0.1223 0.0000
Pd1 Pd 0.4922 0.4922 0.0000
Pd2 Pd 0.5445 0.5445 0.5681
Pd3 Pd 0.5445 0.9763 0.0000
Pd4 Pd 0.9763 0.5445 0.0000
Pd5 Pd 0.9763 0.9763 0.4319
# - Uncorrected energy: -5.314 eV/atom
# - Symmetry: I4mm, No. 107
# - DFT formation energy: -446 kJ/mol of formula units